# 1
This record from Alexandria describes an optimized crystal structure of Th2MnC4. The functional is PBE-GGA.

a b c (Å): 7.4595 10.2838 5.2431
angles (deg): 90.00 90.00 90.00
With the nearest neighbours (Å) after each atom.
Space group Ibam (No. 72)
Symmetry-distinct sites (fractional):
Th  0.1718  0.1414  0.0000  5 C 2.48-2.67
Mn  0.0000  0.5000  0.2500  4 C 1.97
C  0.1598  0.1295  0.5000  1 C 1.42
C  0.1612  0.4182  0.0000  1 C 1.42

**E_tot**: -8.94 eV/atom
**ΔE_f**: -164 kJ/mol of formula units
**Total moment**: 1.9 Bohr magnetons per cell
**N(E_F)**: 2.73 states/eV/f.u.

# 2
This record from Alexandria describes an optimized crystal structure of ThMn2C2. The functional is PBE-GGA.

a b c (Å): 6.2034 8.5111 9.2660
angles (deg): 90.00 90.00 90.00
With the nearest neighbours (Å) after each atom.
Space group Fddd (No. 70, origin choice 2)
Symmetry-distinct sites (fractional):
Th  0.1250  0.1250  0.1250  6 C 2.70-2.85, 4 Mn 2.84
Mn  0.1250  0.1250  0.4894  4 C 1.96-2.00
C  0.1250  0.3079  0.6250  4 Mn 1.96-2.00

**E_tot**: -9.10 eV/atom
**ΔE_f**: -123 kJ/mol of formula units
**Total moment**: 0.0 Bohr magnetons per cell
**N(E_F)**: 2.45 states/eV/f.u.

# 3
This record from Alexandria describes an optimized crystal structure of ThMn2C3. The functional is PBE-GGA.

a b c (Å): 6.7174 9.1673 4.8278
angles (deg): 90.00 90.00 90.00
With the nearest neighbours (Å) after each atom.
Space group Cmcm (No. 63)
Symmetry-distinct sites (fractional):
Th  0.0000  0.2043  0.2500  6 C 2.65-2.78
Mn  0.1882  0.5000  0.0000  4 C 1.91-1.96
C  0.0000  0.4158  0.7500  4 Mn 1.91
C  0.1047  0.0743  0.7500  1 C 1.41

**E_tot**: -8.98 eV/atom
**ΔE_f**: -43 kJ/mol of formula units
**Total moment**: 0.0 Bohr magnetons per cell
**N(E_F)**: 5.45 states/eV/f.u.

# 4
This record from Alexandria describes an optimized crystal structure of Th2Mn2C3. The functional is PBE-GGA.

a b c (Å): 11.6320 3.4185 5.6276
angles (deg): 90.00 116.89 90.00
With the nearest neighbours (Å) after each atom.
Space group C2/m (No. 12)
Symmetry-distinct sites (fractional):
Th  0.1013  0.0000  0.3094  5 C 2.44-2.69
Mn  0.1641  0.5000  0.8292  4 C 1.93-2.03
C  0.0000  0.5000  0.5000  2 Mn 1.97
C  0.2462  0.0000  0.7855  3 Mn 1.93-2.03

**E_tot**: -8.90 eV/atom
**ΔE_f**: -143 kJ/mol of formula units
**Total moment**: 3.3 Bohr magnetons per cell
**N(E_F)**: 4.02 states/eV/f.u.

# 5
This record from Alexandria describes an optimized crystal structure of Th2Mn17C2. The functional is PBE-GGA.

a b c (Å): 9.6346 8.7485 6.4530
angles (deg): 90.00 98.50 90.00
With the nearest neighbours (Å) after each atom.
Space group C2/m (No. 12)
Symmetry-distinct sites (fractional):
Th  0.1447  0.0000  0.3416  2 C 2.56
Mn  0.0000  0.2317  0.0000  8 Mn 2.40-2.62
Mn  0.0000  0.5000  0.5000  10 Mn 2.44-2.63
Mn  0.0931  0.5000  0.9036  3 Mn 2.33-2.59
Mn  0.0992  0.2639  0.6635  1 C 1.92
Mn  0.1429  0.3618  0.2810  1 C 1.89
Mn  0.1544  0.0000  0.8699  9 Mn 2.47-2.72
Mn  0.2500  0.2500  0.0000  10 Mn 2.41-2.68
C  0.2500  0.2500  0.5000  4 Mn 1.89-1.92

**E_tot**: -9.06 eV/atom
**ΔE_f**: -112 kJ/mol of formula units
**Total moment**: 13.5 Bohr magnetons per cell
**N(E_F)**: 23.27 states/eV/f.u.

# 6
This record from Alexandria describes an optimized crystal structure of TmTh2MnC4. The functional is PBE-GGA.

a b c (Å): 3.5788 11.9010 12.4808
angles (deg): 90.00 90.00 90.00
With the nearest neighbours (Å) after each atom.
Space group Cmcm (No. 63)
Symmetry-distinct sites (fractional):
Tm  0.0000  0.1139  0.2500  4 C 2.63
Th  0.0000  0.3657  0.0441  6 C 2.46-2.71
Mn  0.0000  0.1719  0.7500  4 C 1.81-1.97
C  0.0000  0.0000  0.0000  4 Th 2.46
C  0.0000  0.2719  0.6406  1 Mn 1.81
C  0.0000  0.3981  0.2500  2 Mn 1.97

**E_tot**: -8.14 eV/atom
**ΔE_f**: 22 kJ/mol of formula units
**Total moment**: 4.7 Bohr magnetons per cell
**N(E_F)**: 4.63 states/eV/f.u.

# 7
This record from Alexandria describes an optimized crystal structure of ThU2MnC4. The functional is PBE-GGA.

a b c (Å): 3.5294 11.4913 11.5372
angles (deg): 90.00 90.00 90.00
With the nearest neighbours (Å) after each atom.
Space group Cmcm (No. 63)
Symmetry-distinct sites (fractional):
Th  0.0000  0.1014  0.2500  6 C 2.64-2.80
U  0.0000  0.3683  0.0507  6 C 2.36-2.44
Mn  0.0000  0.1580  0.7500  4 C 1.88-2.03
C  0.0000  0.0000  0.0000  4 U 2.40
C  0.0000  0.2590  0.6222  1 Mn 1.88
C  0.0000  0.4301  0.2500  2 Mn 2.03

**E_tot**: -9.67 eV/atom
**ΔE_f**: -123 kJ/mol of formula units
**Total moment**: 0.0 Bohr magnetons per cell
**N(E_F)**: 8.79 states/eV/f.u.

# 8
This record from Alexandria describes an optimized crystal structure of Th2UMnC4. The functional is PBE-GGA.

a b c (Å): 3.4935 11.6395 12.4789
angles (deg): 90.00 90.00 90.00
With the nearest neighbours (Å) after each atom.
Space group Cmcm (No. 63)
Symmetry-distinct sites (fractional):
Th  0.0000  0.1374  0.0466  4 C 2.44-2.64
U  0.0000  0.4041  0.2500  6 C 2.57-2.65
Mn  0.0000  0.3298  0.7500  4 C 1.85-2.07
C  0.0000  0.0754  0.2500  2 Mn 2.07
C  0.0000  0.2153  0.6476  1 Mn 1.85
C  0.0000  0.5000  0.0000  4 Th 2.44

**E_tot**: -8.95 eV/atom
**ΔE_f**: 59 kJ/mol of formula units
**Total moment**: 13.8 Bohr magnetons per cell
**N(E_F)**: 6.25 states/eV/f.u.

# 9
This record from Alexandria describes an optimized crystal structure of YTh2MnC4. The functional is PBE-GGA.

a b c (Å): 3.5965 11.9450 12.4930
angles (deg): 90.00 90.00 90.00
With the nearest neighbours (Å) after each atom.
Space group Cmcm (No. 63)
Symmetry-distinct sites (fractional):
Y  0.0000  0.1066  0.2500  4 C 2.70
Th  0.0000  0.3662  0.0450  6 C 2.47-2.70
Mn  0.0000  0.1743  0.7500  4 C 1.80-1.99
C  0.0000  0.0000  0.0000  4 Th 2.47
C  0.0000  0.2709  0.6393  1 Mn 1.80
C  0.0000  0.3975  0.2500  2 Mn 1.99

**E_tot**: -8.42 eV/atom
**ΔE_f**: -1 kJ/mol of formula units
**Total moment**: 4.5 Bohr magnetons per cell
**N(E_F)**: 4.57 states/eV/f.u.

# 10
This record from Alexandria describes an optimized crystal structure of ThZr2MnC4. The functional is PBE-GGA.

a b c (Å): 3.3715 11.5279 11.2923
angles (deg): 90.00 90.00 90.00
With the nearest neighbours (Å) after each atom.
Space group Cmcm (No. 63)
Symmetry-distinct sites (fractional):
Th  0.0000  0.0927  0.2500  6 C 2.63-2.76
Zr  0.0000  0.3688  0.0448  6 C 2.26-2.44
Mn  0.0000  0.1693  0.7500  4 C 1.79-1.96
C  0.0000  0.0000  0.0000  4 Zr 2.32
C  0.0000  0.2639  0.6239  1 Mn 1.79
C  0.0000  0.4172  0.2500  2 Mn 1.96

**E_tot**: -9.25 eV/atom
**ΔE_f**: -327 kJ/mol of formula units
**Total moment**: 0.1 Bohr magnetons per cell
**N(E_F)**: 4.07 states/eV/f.u.

# 11
This record from Alexandria describes an optimized crystal structure of TiMnC2. The functional is PBE-GGA.

a b c (Å): 5.1818 5.1818 5.1818
angles (deg): 90.00 90.00 90.00
With the nearest neighbours (Å) after each atom.
Space group Fm-3m (No. 225)
Symmetry-distinct sites (fractional):
Ti  0.0000  0.0000  0.0000  8 C 2.24
Mn  0.0000  0.0000  0.5000  8 C 2.24
C  0.2500  0.2500  0.2500  4 Mn 2.24, 4 Ti 2.24

**E_tot**: -8.43 eV/atom
**ΔE_f**: 171 kJ/mol of formula units
**Total moment**: 0.0 Bohr magnetons per cell
**N(E_F)**: 3.98 states/eV/f.u.

# 12
This record from Alexandria describes an optimized crystal structure of Ti2Mn2C3. The functional is PBE-GGA.

a b c (Å): 10.1406 2.9567 5.1200
angles (deg): 90.00 110.25 90.00
With the nearest neighbours (Å) after each atom.
Space group C2/m (No. 12)
Symmetry-distinct sites (fractional):
Ti  0.1124  0.0000  0.3473  5 C 2.14-2.17
Mn  0.1580  0.5000  0.8352  4 C 1.90-1.94
C  0.0000  0.5000  0.5000  2 Mn 1.90
C  0.2370  0.5000  0.2387  3 Mn 1.93-1.94, 3 Ti 2.14

**E_tot**: -9.30 eV/atom
**ΔE_f**: -319 kJ/mol of formula units
**Total moment**: 0.0 Bohr magnetons per cell
**N(E_F)**: 3.16 states/eV/f.u.

> Among the records above, which one has the highest total moment?

Th2UMnC4